Record 1
Computed, not measured: a relaxed structure of TaMoC at the PBE-GGA level of DFT.

Structure (POSCAR):
```
TaMoC
1.0
-3.589 -1.127 -0.826
-1.009 -0.690 -3.652
-0.665 -3.610 -1.165
C Mo Ta
1 1 1
Direct
0.750 0.750 0.750
0.000 0.000 0.000
0.500 0.500 0.500
```

Properties
As for the offset from the most stable computed form: 0.877 eV/atom. The calculation puts the density of states at the Fermi level at 4.08 states/eV per cell.

---

Record 2
Computed, not measured: a relaxed structure of TaMo2C at the PBE-GGA level of DFT.

Structure (POSCAR):
```
TaMo2C
1.0
4.136 0.000 0.000
0.000 4.136 0.000
0.000 0.000 3.279
Ta C Mo
1 1 2
Direct
0.500 0.000 0.500
0.000 0.500 0.500
0.500 0.500 0.000
0.000 0.000 0.000
```

Properties
The calculation puts the density of states at the Fermi level at 3.30 states/eV per cell. The value obtained for the calculated total energy is -9.73 eV/atom.

---

Record 3
Computed, not measured: a relaxed structure of TaMo2C at the PBE-GGA level of DFT.

Structure (POSCAR):
```
TaMo2C
1.0
3.121 0.000 0.000
0.000 3.121 0.000
0.000 0.000 6.315
Ta Mo C
1 2 1
Direct
0.000 0.000 0.603
0.000 0.000 0.043
0.500 0.500 0.256
0.500 0.500 0.599
```

Properties
The calculation puts the density of states at the Fermi level at 3.52 states/eV per cell. The value obtained for the calculated total energy is -10.33 eV/atom.

---

Record 4
Computed, not measured: a relaxed structure of TaMo2C at the PBE-GGA level of DFT.

Structure (POSCAR):
```
TaMo2C
1.0
3.101 0.000 0.000
0.000 3.198 -0.004
0.000 1.601 5.855
Ta Mo C
1 2 1
Direct
0.500 0.250 0.250
0.000 0.625 0.539
0.000 0.875 0.961
0.500 0.750 0.750
```

Properties
The calculation puts the density of states at the Fermi level at 2.93 states/eV per cell. The value obtained for the calculated total energy is -10.39 eV/atom.

---

Record 5
Computed, not measured: a relaxed structure of Ta2MoC at the PBE-GGA level of DFT.

Structure (POSCAR):
```
Ta2MoC
1.0
-6.869 -2.381 1.659
-0.488 -3.253 -6.692
-2.820 -4.700 -1.664
C Mo Ta
2 2 4
Direct
0.250 0.750 0.500
0.500 0.500 0.000
0.750 0.250 0.500
0.000 0.000 0.000
0.247 0.625 0.250
0.875 0.753 0.750
0.503 0.125 0.250
0.375 0.497 0.750
```

Properties
The calculation puts the density of states at the Fermi level at 1.30 states/eV per cell. The value obtained for the calculated total energy is -10.80 eV/atom.

---

Record 6
Computed, not measured: a relaxed structure of Ta2MoC at the PBE-GGA level of DFT.

Structure (POSCAR):
```
Ta2MoC
1.0
7.248 -0.012 -0.007
6.592 3.013 -0.007
6.592 1.429 2.652
Ta C Mo
2 1 1
Direct
0.978 0.978 0.978
0.522 0.522 0.522
0.250 0.250 0.250
0.750 0.750 0.750
```

Properties
The calculation puts the density of states at the Fermi level at 2.86 states/eV per cell. The value obtained for the calculated total energy is -11.21 eV/atom.

---

Record 7
Computed, not measured: a relaxed structure of Ta2MoC at the PBE-GGA level of DFT.

Structure (POSCAR):
```
Ta2MoC
1.0
2.990 0.000 0.000
0.000 4.897 0.004
0.000 2.740 4.059
Ta Mo C
2 1 1
Direct
0.000 0.002 0.002
0.500 0.327 0.327
0.500 0.670 0.670
0.000 0.502 0.502
```

Properties
The calculation puts the density of states at the Fermi level at 2.88 states/eV per cell. The value obtained for the calculated total energy is -11.14 eV/atom.

---

Record 8
Computed, not measured: a relaxed structure of Ta2MoC at the PBE-GGA level of DFT.

Structure (POSCAR):
```
Ta2MoC
1.0
4.371 0.000 0.000
2.185 3.785 0.000
2.185 1.262 3.569
Ta C Mo
2 1 1
Direct
0.750 0.750 0.750
0.000 0.000 0.000
0.500 0.500 0.500
0.250 0.250 0.250
```

Properties
The calculation puts the density of states at the Fermi level at 4.08 states/eV per cell. The value obtained for the calculated total energy is -9.75 eV/atom.

---

Record 9
Computed, not measured: a relaxed structure of Ta2MoC at the PBE-GGA level of DFT.

Structure (POSCAR):
```
Ta2MoC
1.0
6.302 -0.002 -0.004
-2.351 3.630 -0.007
1.600 1.049 2.543
Mo Ta C
1 2 1
Direct
0.500 0.500 0.000
0.500 0.000 0.500
0.000 0.000 0.000
0.000 0.500 0.500
```

Properties
The calculation puts the density of states at the Fermi level at 3.33 states/eV per cell. The value obtained for the calculated total energy is -10.19 eV/atom.

---

Record 10
Computed, not measured: a relaxed structure of TaMo2C at the PBE-GGA level of DFT.

Structure (POSCAR):
```
TaMo2C
1.0
-0.398 2.179 -1.742
-1.571 0.221 2.328
5.599 3.759 3.422
Ta C Mo
1 1 2
Direct
0.000 0.000 0.553
0.500 0.500 0.753
0.500 0.500 0.246
0.000 0.000 0.948
```

Properties
The calculation puts the density of states at the Fermi level at 2.72 states/eV per cell. The value obtained for the calculated total energy is -10.48 eV/atom.

---

Record 11
Computed, not measured: a relaxed structure of TaMo2C at the PBE-GGA level of DFT.

Structure (POSCAR):
```
TaMo2C
1.0
-4.046 -2.463 -2.051
-3.864 -1.811 2.904
2.752 4.316 -0.669
Mo Ta C
2 1 1
Direct
0.000 0.000 0.000
0.250 0.750 0.500
0.500 0.500 0.000
0.750 0.250 0.500
```

Properties
The calculation puts the density of states at the Fermi level at 2.36 states/eV per cell. The value obtained for the calculated total energy is -9.71 eV/atom.

---

Record 12
Computed, not measured: a relaxed structure of TaMoC3 at the PBE-GGA level of DFT.

Structure (POSCAR):
```
TaMoC3
1.0
4.108 0.000 0.000
0.000 4.108 0.000
0.000 0.000 4.108
C Mo Ta
3 1 1
Direct
0.000 0.500 0.000
0.500 0.000 0.000
0.000 0.000 0.500
0.500 0.500 0.500
0.000 0.000 0.000
```

Properties
As for the offset from the most stable computed form: 0.239 eV/atom. The calculation puts the density of states at the Fermi level at 5.35 states/eV per cell.

---

Record 13
Computed, not measured: a relaxed structure of TaMo2C at the PBE-GGA level of DFT.

Structure (POSCAR):
```
TaMo2C
1.0
7.269 -0.006 -0.004
6.631 2.978 -0.004
6.631 1.418 2.619
C Mo Ta
1 2 1
Direct
0.750 0.750 0.750
0.473 0.473 0.473
0.027 0.027 0.027
0.250 0.250 0.250
```

Properties
The calculation puts the density of states at the Fermi level at 3.55 states/eV per cell. The value obtained for the calculated total energy is -10.71 eV/atom.

---

Record 14
Computed, not measured: a relaxed structure of TaMo2C at the PBE-GGA level of DFT.

Structure (POSCAR):
```
TaMo2C
1.0
-5.266 -4.668 1.439
2.887 -4.681 -4.620
0.056 -5.562 0.087
C Mo Ta
2 4 2
Direct
0.250 0.750 0.500
0.500 0.500 0.000
0.235 0.625 0.250
0.875 0.765 0.750
0.375 0.485 0.750
0.515 0.125 0.250
0.000 0.000 0.000
0.750 0.250 0.500
```

Properties
The calculation puts the density of states at the Fermi level at 6.29 states/eV per cell. The value obtained for the calculated total energy is -10.52 eV/atom.

---

Record 15
Computed, not measured: a relaxed structure of TaMoC at the PBE-GGA level of DFT.

Structure (POSCAR):
```
TaMoC
1.0
-1.191 -0.006 -2.861
-5.214 -2.385 0.498
-4.814 2.985 0.319
Ta C Mo
2 2 2
Direct
0.381 0.795 0.443
0.619 0.205 0.557
0.248 0.247 0.256
0.752 0.753 0.744
0.131 0.697 0.040
0.869 0.303 0.960
```

Properties
As for the offset from the most stable computed form: 0.000 eV/atom. The calculation puts the density of states at the Fermi level at 2.12 states/eV per cell.

---

Record 16
Computed, not measured: a relaxed structure of Ta2MoC at the PBE-GGA level of DFT.

Structure (POSCAR):
```
Ta2MoC
1.0
-2.244 -0.995 -1.942
-1.724 -0.900 2.453
-2.500 5.285 0.182
C Mo Ta
1 1 2
Direct
0.500 0.500 0.250
0.500 0.500 0.750
0.000 0.000 0.471
0.000 0.000 0.029
```

Properties
The calculation puts the density of states at the Fermi level at 2.58 states/eV per cell. The value obtained for the calculated total energy is -10.47 eV/atom.

---

Record 17
Computed, not measured: a relaxed structure of TaMo2C at the PBE-GGA level of DFT.

Structure (POSCAR):
```
TaMo2C
1.0
-0.275 2.352 -1.378
-1.332 -1.324 -1.994
-6.412 1.268 3.442
Mo C Ta
2 1 1
Direct
0.000 0.000 0.924
0.000 0.000 0.576
0.500 0.500 0.750
0.500 0.500 0.250
```

Properties
The calculation puts the density of states at the Fermi level at 2.71 states/eV per cell. The value obtained for the calculated total energy is -10.32 eV/atom.

---

Record 18
Computed, not measured: a relaxed structure of Ta3MoC at the PBE-GGA level of DFT.

Structure (POSCAR):
```
Ta3MoC
1.0
4.297 0.000 0.000
0.000 4.297 0.000
0.000 0.000 4.297
Mo Ta C
1 3 1
Direct
0.500 0.500 0.500
0.000 0.500 0.000
0.000 0.000 0.500
0.500 0.000 0.000
0.000 0.000 0.000
```

Properties
As for the offset from the most stable computed form: 0.000 eV/atom. The calculation puts the density of states at the Fermi level at 6.51 states/eV per cell.

---

Record 19
Computed, not measured: a relaxed structure of TaMo2C at the PBE-GGA level of DFT.

Structure (POSCAR):
```
TaMo2C
1.0
-2.214 0.157 -2.208
1.821 -1.645 -1.943
-2.295 -4.850 1.955
C Ta Mo
1 1 2
Direct
0.500 0.500 0.750
0.500 0.500 0.250
0.000 0.000 0.537
0.000 0.000 0.963
```

Properties
The calculation puts the density of states at the Fermi level at 3.37 states/eV per cell. The value obtained for the calculated total energy is -9.98 eV/atom.

---

Record 20
Computed, not measured: a relaxed structure of Ta3MoC at the PBE-GGA level of DFT.

Structure (POSCAR):
```
Ta3MoC
1.0
-2.054 1.803 3.949
-4.310 -0.329 -2.092
-0.515 -4.439 1.759
C Ta Mo
1 3 1
Direct
0.500 0.500 0.500
0.500 0.000 0.000
0.000 0.000 0.500
0.000 0.500 0.000
0.000 0.000 0.000
```

Properties
As for the offset from the most stable computed form: 2.687 eV/atom. The calculation puts the density of states at the Fermi level at 5.30 states/eV per cell.

---

Record 21
Computed, not measured: a relaxed structure of Ta2MoC at the PBE-GGA level of DFT.

Structure (POSCAR):
```
Ta2MoC
1.0
4.675 0.011 0.000
1.273 4.498 0.000
-2.974 -2.254 2.816
Ta C Mo
2 1 1
Direct
0.000 0.000 0.000
0.500 0.500 0.000
0.250 0.750 0.500
0.750 0.250 0.500
```

Properties
The calculation puts the density of states at the Fermi level at 1.84 states/eV per cell. The value obtained for the calculated total energy is -9.98 eV/atom.

---

Record 22
Computed, not measured: a relaxed structure of TaMoC at the PBE-GGA level of DFT.

Structure (POSCAR):
```
TaMoC
1.0
3.108 0.000 0.000
-1.554 2.692 0.000
0.000 0.000 4.780
C Mo Ta
1 1 1
Direct
0.000 0.000 0.006
0.667 0.333 0.247
0.333 0.667 0.747
```

Properties
As for the offset from the most stable computed form: 0.006 eV/atom. The calculation puts the density of states at the Fermi level at 1.29 states/eV per cell.

---

Record 23
Computed, not measured: a relaxed structure of TaMo2C at the PBE-GGA level of DFT.

Structure (POSCAR):
```
TaMo2C
1.0
-4.105 2.425 -0.981
-2.880 -2.942 -2.596
2.174 0.609 4.312
Mo C Ta
2 1 1
Direct
0.749 0.249 0.500
0.061 0.061 0.000
0.247 0.747 0.500
0.443 0.443 0.000
```

Properties
The calculation puts the density of states at the Fermi level at 3.01 states/eV per cell. The value obtained for the calculated total energy is -10.34 eV/atom.

---

Record 24
Computed, not measured: a relaxed structure of TaMo2C at the PBE-GGA level of DFT.

Structure (POSCAR):
```
TaMo2C
1.0
-3.285 2.739 -3.030
0.379 -0.322 -5.218
-0.879 -2.308 4.624
C Mo Ta
1 2 1
Direct
0.250 0.750 0.500
0.435 0.435 0.000
0.065 0.065 0.000
0.750 0.250 0.500
```

Properties
The calculation puts the density of states at the Fermi level at 2.94 states/eV per cell. The value obtained for the calculated total energy is -10.33 eV/atom.

---

Record 25
Computed, not measured: a relaxed structure of TaMo2C at the PBE-GGA level of DFT.

Structure (POSCAR):
```
TaMo2C
1.0
-2.804 -4.547 -0.692
-0.922 -3.766 3.740
-0.179 5.314 -0.861
Mo C Ta
2 1 1
Direct
0.500 0.500 0.000
0.000 0.000 0.000
0.750 0.250 0.500
0.250 0.750 0.500
```

Properties
The calculation puts the density of states at the Fermi level at 2.53 states/eV per cell. The value obtained for the calculated total energy is -9.96 eV/atom.

---

Record 26
Computed, not measured: a relaxed structure of Ta2MoC at the PBE-GGA level of DFT.

Structure (POSCAR):
```
Ta2MoC
1.0
-4.589 1.103 -1.919
-2.857 -4.142 -0.802
2.399 2.931 3.408
Ta Mo C
2 1 1
Direct
0.684 0.184 0.500
0.998 0.998 0.000
0.321 0.821 0.500
0.498 0.498 0.000
```

Properties
The calculation puts the density of states at the Fermi level at 2.93 states/eV per cell. The value obtained for the calculated total energy is -10.70 eV/atom.

---

Record 27
Computed, not measured: a relaxed structure of TaMo2C at the PBE-GGA level of DFT.

Structure (POSCAR):
```
TaMo2C
1.0
-1.602 0.559 2.638
-0.237 -4.157 0.736
3.461 -2.938 2.724
C Mo Ta
1 2 1
Direct
0.000 0.000 0.500
0.500 0.500 0.000
0.000 0.000 0.000
0.500 0.500 0.500
```

Properties
The calculation puts the density of states at the Fermi level at 2.24 states/eV per cell. The value obtained for the calculated total energy is -9.84 eV/atom.

---

Record 28
Computed, not measured: a relaxed structure of Ta2MoC at the PBE-GGA level of DFT.

Structure (POSCAR):
```
Ta2MoC
1.0
-0.990 1.189 -2.306
-0.960 -2.461 -0.857
-6.475 1.322 3.462
C Mo Ta
1 1 2
Direct
0.000 0.000 0.518
0.500 0.500 0.672
0.000 0.000 0.992
0.500 0.500 0.318
```

Properties
The calculation puts the density of states at the Fermi level at 4.17 states/eV per cell. The value obtained for the calculated total energy is -10.64 eV/atom.

---

Record 29
Computed, not measured: a relaxed structure of TaMo2C at the PBE-GGA level of DFT.

Structure (POSCAR):
```
TaMo2C
1.0
4.218 0.011 0.000
-0.843 4.133 0.000
0.000 0.000 3.230
Ta Mo C
1 2 1
Direct
0.500 0.000 0.500
0.500 0.500 0.000
0.000 0.000 0.000
0.000 0.500 0.500
```

Properties
The calculation puts the density of states at the Fermi level at 2.87 states/eV per cell. The value obtained for the calculated total energy is -9.75 eV/atom.

---

Record 30
Computed, not measured: a relaxed structure of Ta2MoC at the PBE-GGA level of DFT.

Structure (POSCAR):
```
Ta2MoC
1.0
3.261 0.000 0.000
0.000 4.437 -0.028
0.000 3.571 4.035
Ta Mo C
2 1 1
Direct
0.000 0.000 0.000
0.500 0.500 0.000
0.000 0.000 0.500
0.500 0.500 0.500
```

Properties
The calculation puts the density of states at the Fermi level at 2.77 states/eV per cell. The value obtained for the calculated total energy is -10.08 eV/atom.